(1)
ScTeBr | PBE-GGA | relaxed

Geometry as extended XYZ:
```
6
Lattice="6.863 -2.029 0.000 6.863 2.029 0.000 -2.050 0.000 6.782" Properties=species:S:1:pos:R:3 pbc="T T T"
Sc 0.000 0.000 0.000
Sc 1.743 0.000 4.981
Te 5.017 0.000 0.779
Te 6.656 0.000 5.569
Br 1.250 0.000 2.312
Br 10.400 0.000 4.290
```

## Properties
For the energy relative to the elements, uncorrected, the calculation gives -392 kJ/mol of formula units.


(2)
CaBeZnHS | PBE-GGA | relaxed

Geometry as extended XYZ:
```
5
Lattice="4.368 -1.776 0.000 4.368 1.776 0.000 -2.011 0.000 5.308" Properties=species:S:1:pos:R:3 pbc="T T T"
Ca 0.000 0.000 0.000
Be 0.355 0.000 3.147
Zn 2.478 0.000 2.280
H 3.705 0.000 1.146
S 4.210 0.000 4.181
```

## Properties
The relative energy among the computed polymorphs is 0.131 eV per atom.


(3)
ErNi3 | PBE-GGA | relaxed

Geometry as extended XYZ:
```
4
Lattice="-1.944 1.944 3.743 1.944 -1.944 3.743 1.944 1.944 -3.743" Properties=species:S:1:pos:R:3 pbc="T T T"
Er 0.000 0.000 0.000
Ni 1.944 0.000 1.872
Ni 0.000 0.000 3.743
Ni 0.000 1.944 1.872
```

## Properties
The total energy comes out at -5.6860 eV/atom.